A geometry-optimized Tb3Pu2Ru4 structure. Source: Alexandria via LeMat-Bulk, functional GGA-PBE.

energy: -9.00 eV per atom
ρ: 11.84 Mg/m³
polymorph energy (0 for the lowest one): 1.53 eV/f.u.
symmetry: No. 15
size of the total moment: 0.903 μB per atom
ΔE_f: -15 kJ per mole of atoms

Cell: 5.740 8.594 8.594 Å, 65.44 94.08 94.08°
Sites, in units of the cell vectors:
Ru 0.919 0.169 0.457
Ru 0.099 0.706 0.157
Ru 0.419 0.457 0.169
Ru 0.901 0.294 0.843
Ru 0.599 0.157 0.706
Ru 0.081 0.831 0.543
Ru 0.401 0.843 0.294
Ru 0.581 0.543 0.831
Tb 0.092 0.000 0.796
Tb 0.408 0.204 0.000
Tb 0.908 0.000 0.204
Tb 0.250 0.430 0.570
Tb 0.592 0.796 0.000
Tb 0.750 0.570 0.430
Pu 0.573 0.830 0.595
Pu 0.427 0.170 0.405
Pu 0.073 0.595 0.830
Pu 0.927 0.405 0.170

A geometry-optimized Tb2PuRu2 structure. Source: Alexandria via LeMat-Bulk, functional GGA-PBE.

energy: -8.79 eV per atom
ρ: 11.28 Mg/m³
polymorph energy (0 for the lowest one): 0.00 eV/f.u.
symmetry: No. 15
size of the total moment: 0.844 μB per atom
ΔE_f: -34 kJ per mole of atoms

Cell: 5.821 5.821 7.818 Å, 80.03 80.03 60.05°
Sites, in units of the cell vectors:
Tb 0.478 0.219 0.151
Tb 0.522 0.781 0.849
Tb 0.219 0.478 0.651
Tb 0.781 0.522 0.349
Ru 0.994 0.270 0.991
Ru 0.730 0.006 0.509
Ru 0.270 0.994 0.491
Ru 0.006 0.730 0.009
Pu 0.871 0.129 0.750
Pu 0.129 0.871 0.250

A geometry-optimized Tb3Pu4Ru4 structure. Source: Alexandria via LeMat-Bulk, functional GGA-PBE.

energy: -9.87 eV per atom
ρ: 14.00 Mg/m³
symmetry: No. 71
size of the total moment: 0.001 μB per atom
ΔE_f: -2 kJ per mole of atoms

Cell: 3.296 10.028 8.501 Å, 126.14 101.18 90.00°
Sites, in units of the cell vectors:
Pu 0.690 0.469 0.379
Pu 0.310 0.090 0.621
Pu 0.690 0.910 0.379
Pu 0.310 0.531 0.621
Ru 0.791 0.291 0.583
Ru 0.500 0.773 0.000
Ru 0.500 0.227 0.000
Ru 0.209 0.709 0.417
Tb 0.113 0.113 0.226
Tb 0.887 0.887 0.774
Tb 0.000 0.500 0.000

A geometry-optimized Tb5PuRu4 structure. Source: Alexandria via LeMat-Bulk, functional GGA-PBE.

energy: -7.71 eV per atom
ρ: 10.10 Mg/m³
symmetry: No. 12
size of the total moment: 0.390 μB per atom
ΔE_f: -24 kJ per mole of atoms

Cell: 4.507 6.844 8.012 Å, 90.54 106.33 90.00°
Sites, in units of the cell vectors:
Ru 0.995 0.221 0.990
Ru 0.352 0.210 0.703
Ru 0.648 0.790 0.297
Ru 0.005 0.779 0.010
Pu 0.500 0.000 0.000
Tb 0.169 0.064 0.338
Tb 0.831 0.936 0.662
Tb 0.169 0.565 0.339
Tb 0.831 0.435 0.661
Tb 0.500 0.500 0.000

A geometry-optimized TbPuRu2 structure. Source: Alexandria via LeMat-Bulk, functional GGA-PBE.

energy: -9.63 eV per atom
ρ: 12.79 Mg/m³
symmetry: No. 123
size of the total moment: 1.001 μB per atom
ΔE_f: -24 kJ per mole of atoms

Cell: 3.378 3.378 6.883 Å, 90.00 90.00 90.00°
Sites, in units of the cell vectors:
Tb 0.500 0.500 0.500
Ru 0.000 0.000 0.770
Ru 0.000 0.000 0.230
Pu 0.500 0.500 0.000

A geometry-optimized Tb5Pu2Ru5 structure. Source: Alexandria via LeMat-Bulk, functional GGA-PBE.

energy: -8.36 eV per atom
ρ: 11.11 Mg/m³
symmetry: No. 12
size of the total moment: 0.786 μB per atom
ΔE_f: -17 kJ per mole of atoms

Cell: 5.261 5.261 12.343 Å, 77.55 77.55 53.75°
Sites, in units of the cell vectors:
Tb 0.675 0.675 0.945
Tb 0.759 0.759 0.654
Tb 0.325 0.325 0.055
Tb 0.500 0.500 0.500
Tb 0.241 0.241 0.346
Pu 0.005 0.005 0.786
Pu 0.995 0.995 0.214
Ru 0.872 0.872 0.422
Ru 0.720 0.720 0.199
Ru 0.128 0.128 0.578
Ru 0.000 0.000 0.000
Ru 0.280 0.280 0.801

A geometry-optimized TbPu2Ru3 structure. Source: Alexandria via LeMat-Bulk, functional GGA-PBE.

energy: -10.39 eV per atom
ρ: 13.46 Mg/m³
polymorph energy (0 for the lowest one): 0.02 eV/f.u.
symmetry: No. 65
size of the total moment: 1.384 μB per atom
ΔE_f: -20 kJ per mole of atoms

Cell: 3.360 4.888 7.542 Å, 108.91 90.00 90.00°
Sites, in units of the cell vectors:
Pu 0.000 0.665 0.330
Pu 0.000 0.335 0.670
Ru 0.500 0.500 0.000
Ru 0.500 0.823 0.647
Ru 0.500 0.177 0.353
Tb 0.000 0.000 0.000

A geometry-optimized Tb3Pu2Ru3 structure. Source: Alexandria via LeMat-Bulk, functional GGA-PBE.

energy: -9.03 eV per atom
ρ: 11.44 Mg/m³
symmetry: No. 63
size of the total moment: 1.163 μB per atom
ΔE_f: -23 kJ per mole of atoms

Cell: 3.997 6.527 14.825 Å, 90.00 90.00 107.83°
Sites, in units of the cell vectors:
Ru 0.403 0.807 0.543
Ru 0.306 0.613 0.250
Ru 0.403 0.807 0.957
Ru 0.597 0.193 0.457
Ru 0.694 0.387 0.750
Ru 0.597 0.193 0.043
Tb 0.368 0.735 0.750
Tb 0.934 0.868 0.123
Tb 0.632 0.265 0.250
Tb 0.066 0.132 0.877
Tb 0.066 0.132 0.623
Tb 0.934 0.868 0.377
Pu 0.782 0.564 0.586
Pu 0.218 0.436 0.086
Pu 0.782 0.564 0.914
Pu 0.218 0.436 0.414

A geometry-optimized Tb3Pu2Ru4 structure. Source: Alexandria via LeMat-Bulk, functional GGA-PBE.

energy: -9.17 eV per atom
ρ: 11.42 Mg/m³
polymorph energy (0 for the lowest one): 0.00 eV/f.u.
symmetry: No. 12
size of the total moment: 0.848 μB per atom
ΔE_f: -31 kJ per mole of atoms

Cell: 4.207 5.800 8.906 Å, 99.83 90.00 111.26°
Sites, in units of the cell vectors:
Pu 0.671 0.342 0.784
Pu 0.329 0.658 0.216
Tb 0.626 0.251 0.389
Tb 0.374 0.749 0.611
Tb 0.000 0.000 0.000
Ru 0.286 0.571 0.906
Ru 0.714 0.429 0.094
Ru 0.911 0.823 0.372
Ru 0.089 0.177 0.628

A geometry-optimized TbPu3Ru2 structure. Source: Alexandria via LeMat-Bulk, functional GGA-PBE.

energy: -11.08 eV per atom
ρ: 15.57 Mg/m³
polymorph energy (0 for the lowest one): 0.15 eV/f.u.
symmetry: No. 12
size of the total moment: 0.424 μB per atom
ΔE_f: -5 kJ per mole of atoms

Cell: 4.062 9.366 7.346 Å, 120.48 90.00 102.52°
Sites, in units of the cell vectors:
Tb 0.885 0.770 0.947
Tb 0.115 0.230 0.053
Pu 0.623 0.246 0.691
Pu 0.377 0.754 0.309
Pu 0.713 0.427 0.489
Pu 0.946 0.891 0.542
Pu 0.287 0.573 0.511
Pu 0.054 0.109 0.458
Ru 0.761 0.523 0.166
Ru 0.466 0.932 0.796
Ru 0.534 0.068 0.204
Ru 0.239 0.477 0.834

A geometry-optimized Tb4PuRu5 structure. Source: Alexandria via LeMat-Bulk, functional GGA-PBE.

energy: -8.21 eV per atom
ρ: 11.62 Mg/m³
symmetry: No. 123
size of the total moment: 0.358 μB per atom
ΔE_f: -28 kJ per mole of atoms

Cell: 3.402 3.402 17.106 Å, 90.00 90.00 90.00°
Sites, in units of the cell vectors:
Ru 0.500 0.500 0.910
Ru 0.500 0.500 0.702
Ru 0.500 0.500 0.090
Ru 0.500 0.500 0.500
Ru 0.500 0.500 0.298
Tb 0.000 0.000 0.798
Tb 0.000 0.000 0.400
Tb 0.000 0.000 0.600
Tb 0.000 0.000 0.202
Pu 0.000 0.000 0.000

A geometry-optimized Tb3PuRu8 structure. Source: Alexandria via LeMat-Bulk, functional GGA-PBE.

energy: -8.77 eV per atom
ρ: 11.79 Mg/m³
symmetry: No. 160
size of the total moment: 0.261 μB per atom
ΔE_f: -23 kJ per mole of atoms

Cell: 5.334 5.334 9.267 Å, 73.28 73.28 60.00°
Sites, in units of the cell vectors:
Ru 0.938 0.938 0.686
Ru 0.439 0.938 0.686
Ru 0.188 0.188 0.436
Ru 0.438 0.935 0.189
Ru 0.438 0.438 0.189
Ru 0.688 0.688 0.936
Ru 0.938 0.439 0.686
Ru 0.935 0.438 0.189
Tb 0.375 0.375 0.875
Tb 0.000 0.000 0.001
Tb 0.500 0.500 0.501
Pu 0.875 0.875 0.375